Entry 1:
Compound: Cu3Pt2
Source: Alexandria
Functional: GGA-PBE
Structure: relaxed

Summary:
Energy relative to the elements: -0.57 eV/f.u.
D(E_F): 0.65 states/eV/atom

Cell and atoms, written as CIF:
```
data_Cu3Pt2
_chemical_formula_sum 'Cu6 Pt4'
_space_group_name_H-M_alt 'P -1'
_space_group_IT_number 2
_space_group_name_Hall '-P 1'
_cell_length_a 4.651
_cell_length_b 5.450
_cell_length_c 5.881
_cell_angle_alpha 103.57
_cell_angle_beta 96.58
_cell_angle_gamma 106.71
loop_
_atom_site_label
_atom_site_fract_x
_atom_site_fract_y
_atom_site_fract_z
Cu1 0.100 0.452 0.206
Cu2 0.302 0.358 0.599
Cu3 0.302 0.841 0.596
Pt1 0.099 0.955 0.219
Pt2 0.492 0.744 0.997
```


Entry 2:
Compound: Ce4ThN4
Source: Alexandria
Functional: GGA-PBE
Structure: relaxed

Summary:
D(E_F): 1.11 states/eV/atom
Energy relative to the elements, uncorrected: -11.95 eV per formula unit

Cell and atoms, written as CIF:
```
data_Ce4ThN4
_chemical_formula_sum 'Ce8 Th2 N8'
_space_group_name_H-M_alt 'I 4/m'
_space_group_IT_number 87
_space_group_name_Hall '-I 4'
_cell_length_a 7.941
_cell_length_b 7.941
_cell_length_c 5.084
_cell_angle_alpha 90.00
_cell_angle_beta 90.00
_cell_angle_gamma 90.00
loop_
_atom_site_label
_atom_site_fract_x
_atom_site_fract_y
_atom_site_fract_z
Ce1 0.101 0.304 0.000
Th1 0.000 0.000 0.500
N1 0.094 0.303 0.500
```


Entry 3:
Compound: ZrIrBrCl2
Source: Alexandria
Functional: GGA-PBE
Structure: relaxed

Summary:
D(E_F): 0.90 states/eV/atom
Energy relative to the elements, uncorrected: -0.21 eV per formula unit

Cell and atoms, written as CIF:
```
data_ZrIrBrCl2
_chemical_formula_sum 'Zr1 Ir1 Br1 Cl2'
_space_group_name_H-M_alt 'P 4/m m m'
_space_group_IT_number 123
_space_group_name_Hall '-P 4 2'
_cell_length_a 4.755
_cell_length_b 4.755
_cell_length_c 5.248
_cell_angle_alpha 90.00
_cell_angle_beta 90.00
_cell_angle_gamma 90.00
loop_
_atom_site_label
_atom_site_fract_x
_atom_site_fract_y
_atom_site_fract_z
Zr1 0.000 0.000 0.000
Ir1 0.000 0.000 0.500
Br1 0.500 0.500 0.000
Cl1 0.000 0.500 0.500
```


Entry 4:
Compound: YCd2Cl
Source: Alexandria
Functional: GGA-PBE
Structure: relaxed

Summary:
D(E_F): 0.74 states/eV/atom
Energy relative to the elements, uncorrected: -2.59 eV per formula unit

Cell and atoms, written as CIF:
```
data_YCd2Cl
_chemical_formula_sum 'Y1 Cd2 Cl1'
_space_group_name_H-M_alt 'P 4 m m'
_space_group_IT_number 99
_space_group_name_Hall 'P 4 -2'
_cell_length_a 3.471
_cell_length_b 3.471
_cell_length_c 8.671
_cell_angle_alpha 90.00
_cell_angle_beta 90.00
_cell_angle_gamma 90.00
loop_
_atom_site_label
_atom_site_fract_x
_atom_site_fract_y
_atom_site_fract_z
Y1 0.000 0.000 0.000
Cd1 0.000 0.000 0.450
Cd2 0.500 0.500 0.250
Cl1 0.500 0.500 0.827
```